--- i ---
A plane-wave DFT calculation with PBE-GGA was carried out for a geometry-optimized Be2CoIr2 structure.

abc: 6.247 6.247 2.854
angles: 90.00 90.00 90.00
Positions (direct):
Be  0.128  0.372  0.000
Be  0.372  0.872  0.000
Be  0.628  0.128  0.000
Be  0.872  0.628  0.000
Co  0.000  0.000  0.000
Co  0.500  0.500  0.000
Ir  0.168  0.668  0.500
Ir  0.332  0.168  0.500
Ir  0.668  0.832  0.500
Ir  0.832  0.332  0.500

Computed properties:
- density of states at the Fermi level (states/eV/atom) = 1.01
- volume (Å³/cell) = 111

--- ii ---
A plane-wave DFT calculation with PBE-GGA was carried out for a geometry-optimized Be2CoIr2 structure.

abc: 6.520 6.520 2.818
angles: 90.00 90.00 90.00
Positions (direct):
Be  0.151  0.349  0.000
Be  0.349  0.849  0.000
Be  0.651  0.151  0.000
Be  0.849  0.651  0.000
Co  0.000  0.000  0.500
Co  0.500  0.500  0.500
Ir  0.146  0.646  0.500
Ir  0.354  0.146  0.500
Ir  0.646  0.854  0.500
Ir  0.854  0.354  0.500

Computed properties:
- density of states at the Fermi level (states/eV/atom) = 0.95
- volume (Å³/cell) = 120

Least stable structure: ii

--- i ---
A plane-wave DFT calculation with PBE-GGA was carried out for a geometry-optimized KBe2Co structure.

abc: 5.684 5.684 5.684
angles: 152.51 120.46 66.79
Positions (direct):
K  0.000  0.000  0.000
Be  0.331  0.831  0.500
Be  0.669  0.169  0.500
Co  0.500  0.500  0.000

Computed properties:
- density of states at the Fermi level (states/eV/atom) = 0.74
- volume (Å³/cell) = 72

--- ii ---
A plane-wave DFT calculation with PBE-GGA was carried out for a geometry-optimized KBe2Co structure.

abc: 4.428 4.428 4.428
angles: 60.00 60.00 60.00
Positions (direct):
K  0.000  0.000  0.000
Be  0.250  0.250  0.250
Be  0.750  0.750  0.750
Co  0.500  0.500  0.500

Computed properties:
- density of states at the Fermi level (states/eV/atom) = 0.65
- volume (Å³/cell) = 61

Least stable structure: ii

--- i ---
A plane-wave DFT calculation with PBE-GGA was carried out for a geometry-optimized KBe2Co structure.

abc: 4.724 4.724 2.577
angles: 90.00 90.00 90.00
Positions (direct):
K  0.000  0.000  0.000
Be  0.000  0.500  0.500
Be  0.500  0.000  0.500
Co  0.500  0.500  0.000

Computed properties:
- density of states at the Fermi level (states/eV/atom) = 0.40
- volume (Å³/cell) = 58

--- ii ---
A plane-wave DFT calculation with PBE-GGA was carried out for a geometry-optimized KBe2Co structure.

abc: 5.566 5.566 5.566
angles: 153.70 124.01 62.88
Positions (direct):
K  0.000  0.000  0.000
Be  0.310  0.810  0.500
Be  0.511  0.511  0.000
Co  0.696  0.196  0.500

Computed properties:
- density of states at the Fermi level (states/eV/atom) = 0.86
- volume (Å³/cell) = 63

--- iii ---
A plane-wave DFT calculation with PBE-GGA was carried out for a geometry-optimized KBe2Co structure.

abc: 4.417 4.417 4.417
angles: 60.00 60.00 60.00
Positions (direct):
K  0.000  0.000  0.000
Be  0.500  0.500  0.500
Be  0.750  0.750  0.750
Co  0.250  0.250  0.250

Computed properties:
- density of states at the Fermi level (states/eV/atom) = 0.55
- volume (Å³/cell) = 61

Least stable structure: iii

--- i ---
A plane-wave DFT calculation with PBE-GGA was carried out for a geometry-optimized K2BeCo2 structure.

abc: 9.724 9.724 2.615
angles: 90.00 90.00 90.00
Positions (direct):
K  0.141  0.359  0.000
K  0.359  0.859  0.000
K  0.641  0.141  0.000
K  0.859  0.641  0.000
Be  0.000  0.000  0.000
Be  0.500  0.500  0.000
Co  0.161  0.661  0.500
Co  0.339  0.161  0.500
Co  0.661  0.839  0.500
Co  0.839  0.339  0.500

Computed properties:
- density of states at the Fermi level (states/eV/atom) = 1.08
- volume (Å³/cell) = 247

--- ii ---
A plane-wave DFT calculation with PBE-GGA was carried out for a geometry-optimized K2BeCo2 structure.

abc: 11.349 11.349 11.349
angles: 163.39 163.39 23.58
Positions (direct):
K  0.117  0.117  0.000
K  0.883  0.883  0.000
Be  0.500  0.500  0.000
Co  0.250  0.750  0.500
Co  0.750  0.250  0.500

Computed properties:
- density of states at the Fermi level (states/eV/atom) = 0.84
- volume (Å³/cell) = 119

Least stable structure: i

--- i ---
A plane-wave DFT calculation with PBE-GGA was carried out for a geometry-optimized KBe3Co structure.

abc: 4.278 4.278 4.278
angles: 90.00 90.00 90.00
Positions (direct):
K  0.000  0.000  0.000
Be  0.000  0.500  0.500
Be  0.500  0.000  0.500
Be  0.500  0.500  0.000
Co  0.500  0.500  0.500

Computed properties:
- density of states at the Fermi level (states/eV/atom) = 0.39
- volume (Å³/cell) = 78

--- ii ---
A plane-wave DFT calculation with PBE-GGA was carried out for a geometry-optimized KBe3Co structure.

abc: 4.440 4.440 4.440
angles: 90.00 90.00 90.00
Positions (direct):
K  0.000  0.000  0.000
Be  0.000  0.000  0.500
Be  0.000  0.500  0.000
Be  0.500  0.000  0.000
Co  0.500  0.500  0.500

Computed properties:
- density of states at the Fermi level (states/eV/atom) = 0.66
- volume (Å³/cell) = 88

Least stable structure: ii

--- i ---
A plane-wave DFT calculation with PBE-GGA was carried out for a geometry-optimized LaBe2Co structure.

abc: 4.473 4.473 4.473
angles: 60.00 60.00 60.00
Positions (direct):
La  0.000  0.000  0.000
Be  0.250  0.250  0.250
Be  0.750  0.750  0.750
Co  0.500  0.500  0.500

Computed properties:
- density of states at the Fermi level (states/eV/atom) = 0.89
- volume (Å³/cell) = 63

--- ii ---
A plane-wave DFT calculation with PBE-GGA was carried out for a geometry-optimized LaBe2Co structure.

abc: 4.561 4.561 3.910
angles: 112.03 112.03 93.03
Positions (direct):
La  0.000  0.000  0.000
Be  0.336  0.664  0.500
Be  0.503  0.497  0.000
Co  0.649  0.351  0.500

Computed properties:
- density of states at the Fermi level (states/eV/atom) = 0.62
- volume (Å³/cell) = 68

--- iii ---
A plane-wave DFT calculation with PBE-GGA was carried out for a geometry-optimized LaBe2Co structure.

abc: 2.963 2.963 6.658
angles: 90.00 90.00 90.00
Positions (direct):
La  0.000  0.000  0.000
Be  0.000  0.000  0.535
Be  0.500  0.500  0.363
Co  0.500  0.500  0.680

Computed properties:
- density of states at the Fermi level (states/eV/atom) = 0.81
- volume (Å³/cell) = 58

--- iv ---
A plane-wave DFT calculation with PBE-GGA was carried out for a geometry-optimized LaBe2Co structure.

abc: 3.671 3.684 4.754
angles: 90.00 90.00 90.00
Positions (direct):
La  0.000  0.000  0.000
Be  0.000  0.500  0.500
Be  0.500  0.000  0.500
Co  0.500  0.500  0.000

Computed properties:
- density of states at the Fermi level (states/eV/atom) = 0.51
- volume (Å³/cell) = 64

Least stable structure: iv